A:
Here is crystalline Dy3TeSe3 at its relaxed geometry from Alexandria via LeMat-Bulk. Energies are from GGA-PBE.

Cell: 8.3119 8.3119 8.3119 Å, 59.86 59.86 59.86°
Closest atoms and distances in Å follow each position.
Fractional positions:
Dy1 0.1038 0.4781 0.7017  4 Se 2.79-2.92
Dy2 0.2983 0.8962 0.5219  4 Se 2.79-2.92
Dy3 0.4781 0.7017 0.1038  4 Se 2.79-2.92
Dy4 0.5219 0.2983 0.8962  4 Se 2.79-2.92
Dy5 0.7017 0.1038 0.4781  4 Se 2.79-2.92
Dy6 0.8962 0.5219 0.2983  4 Se 2.79-2.92
Te1 0.3281 0.3281 0.3281  6 Dy 3.20-3.23
Te2 0.6719 0.6719 0.6719  6 Dy 3.20-3.23
Se1 0.1056 0.8371 0.3666  4 Dy 2.79-2.92
Se2 0.1629 0.6334 0.8944  4 Dy 2.79-2.92
Se3 0.3666 0.1056 0.8371  4 Dy 2.79-2.92
Se4 0.6334 0.8944 0.1629  4 Dy 2.79-2.92
Se5 0.8371 0.3666 0.1056  4 Dy 2.79-2.92
Se6 0.8944 0.1629 0.6334  4 Dy 2.79-2.92

Values from the calculation:
- volume (Å³/f.u.) = 202.37
- size of the total moment (μB per cell) = 0.00

B:
Here is crystalline Dy3TeSe3 at its relaxed geometry from Alexandria via LeMat-Bulk. Energies are from GGA-PBE.

Cell: 10.2305 10.2305 10.2305 Å, 109.47 109.47 109.47°
Closest atoms and distances in Å follow each position.
Fractional positions:
Dy1 0.2379 0.7500 0.2621  4 Se 2.82-2.91, 2 Te 3.10
Dy2 0.2379 0.9879 0.9757  4 Se 2.82-2.91, 2 Te 3.10
Dy3 0.2621 0.2379 0.7500  4 Se 2.82-2.91, 2 Te 3.10
Dy4 0.2621 0.5243 0.5121  4 Se 2.82-2.91, 2 Te 3.10
Dy5 0.5121 0.2621 0.5243  4 Se 2.82-2.91, 2 Te 3.10
Dy6 0.5121 0.7500 0.9879  4 Se 2.82-2.91, 2 Te 3.10
Dy7 0.5243 0.5121 0.2621  4 Se 2.82-2.91, 2 Te 3.10
Dy8 0.7500 0.2621 0.2379  4 Se 2.82-2.91, 2 Te 3.10
Dy9 0.7500 0.9879 0.5121  4 Se 2.82-2.91, 2 Te 3.10
Dy10 0.9757 0.2379 0.9879  4 Se 2.82-2.91, 2 Te 3.10
Dy11 0.9879 0.5121 0.7500  4 Se 2.82-2.91, 2 Te 3.10
Dy12 0.9879 0.9757 0.2379  4 Se 2.82-2.91, 2 Te 3.10
Te1 0.0000 0.2500 0.5000  6 Dy 3.10
Te2 0.2500 0.2500 0.2500  6 Dy 3.10
Te3 0.2500 0.5000 0.0000  6 Dy 3.10
Te4 0.5000 0.0000 0.2500  6 Dy 3.10
Se1 0.0046 0.0092 0.7546  4 Dy 2.82-2.91
Se2 0.0046 0.4954 0.2500  4 Dy 2.82-2.91
Se3 0.0092 0.7546 0.0046  4 Dy 2.82-2.91
Se4 0.2500 0.0046 0.4954  4 Dy 2.82-2.91
Se5 0.2500 0.7454 0.7546  4 Dy 2.82-2.91
Se6 0.4908 0.4954 0.7454  4 Dy 2.82-2.91
Se7 0.4954 0.2500 0.0046  4 Dy 2.82-2.91
Se8 0.4954 0.7454 0.4908  4 Dy 2.82-2.91
Se9 0.7454 0.4908 0.4954  4 Dy 2.82-2.91
Se10 0.7454 0.7546 0.2500  4 Dy 2.82-2.91
Se11 0.7546 0.0046 0.0092  4 Dy 2.82-2.91
Se12 0.7546 0.2500 0.7454  4 Dy 2.82-2.91

Values from the calculation:
- volume (Å³/f.u.) = 206.07
- size of the total moment (μB per cell) = 0.00

It is B that is the most stable of them.

A:
Here is crystalline Dy3TeSe2 at its relaxed geometry from Alexandria via LeMat-Bulk. Energies are from GGA-PBE.

Cell: 4.1765 5.9036 12.5099 Å, 90.00 90.00 90.00°
Closest atoms and distances in Å follow each position.
Fractional positions:
Dy1 0.0000 0.0000 0.0000  4 Se 2.90, 2 Te 2.95
Dy2 0.0000 0.0000 0.3167  4 Se 2.85-2.96, 2 Te 3.10
Dy3 0.0000 0.0000 0.6833  4 Se 2.85-2.96, 2 Te 3.10
Dy4 0.5000 0.5000 0.1833  4 Se 2.85-2.96, 2 Te 3.10
Dy5 0.5000 0.5000 0.5000  4 Se 2.90, 2 Te 2.95
Dy6 0.5000 0.5000 0.8167  4 Se 2.85-2.96, 2 Te 3.10
Te1 0.0000 0.5000 0.0000  6 Dy 2.95-3.10
Te2 0.5000 0.0000 0.5000  6 Dy 2.95-3.10
Se1 0.0000 0.5000 0.3386  6 Dy 2.85-2.96
Se2 0.0000 0.5000 0.6614  6 Dy 2.85-2.96
Se3 0.5000 0.0000 0.1614  6 Dy 2.85-2.96
Se4 0.5000 0.0000 0.8386  6 Dy 2.85-2.96

Values from the calculation:
- volume (Å³/f.u.) = 154.23
- size of the total moment (μB per cell) = 0.00

B:
Here is crystalline Dy3TeSe2 at its relaxed geometry from Alexandria via LeMat-Bulk. Energies are from GGA-PBE.

Cell: 7.3788 7.3788 11.0531 Å, 90.00 90.00 147.07°
Closest atoms and distances in Å follow each position.
Fractional positions:
Dy1 0.0813 0.9187 0.7500  4 Se 2.75-2.99
Dy2 0.3502 0.6498 0.5425  3 Se 2.73-3.01
Dy3 0.3502 0.6498 0.9575  3 Se 2.73-3.01
Dy4 0.6498 0.3502 0.0425  3 Se 2.73-3.01
Dy5 0.6498 0.3502 0.4575  3 Se 2.73-3.01
Dy6 0.9187 0.0813 0.2500  4 Se 2.75-2.99
Te1 0.2579 0.7421 0.2500  6 Dy 3.09-3.46
Te2 0.7421 0.2579 0.7500  6 Dy 3.09-3.46
Se1 0.0000 0.0000 0.0000  6 Dy 2.99-3.01
Se2 0.0000 0.0000 0.5000  6 Dy 2.99-3.01
Se3 0.4551 0.5449 0.7500  4 Dy 2.73-2.75
Se4 0.5449 0.4551 0.2500  4 Dy 2.73-2.75

Values from the calculation:
- volume (Å³/f.u.) = 163.59
- size of the total moment (μB per cell) = 0.00

It is A that is the most stable of them.

A:
Here is crystalline Dy2Te3Se at its relaxed geometry from Alexandria via LeMat-Bulk. Energies are from GGA-PBE.

Cell: 8.2472 8.2472 7.9980 Å, 97.31 97.31 130.45°
Closest atoms and distances in Å follow each position.
Fractional positions:
Dy1 0.0089 0.9911 0.5000  2 Se 2.89, 4 Te 3.01-3.15
Dy2 0.1803 0.6396 0.6764  1 Se 2.89, 4 Te 3.06-3.21
Dy3 0.6396 0.1803 0.1764  1 Se 2.89, 4 Te 3.06-3.21
Dy4 0.9911 0.0089 0.0000  2 Se 2.89, 4 Te 3.01-3.15
Te1 0.1088 0.3517 0.3153  4 Dy 3.05-3.21
Te2 0.3517 0.1088 0.8153  4 Dy 3.05-3.21
Te3 0.5140 0.7467 0.9960  3 Dy 3.01-3.07
Te4 0.5866 0.9052 0.4987  1 Se 2.65
Te5 0.7467 0.5140 0.4960  3 Dy 3.01-3.07
Te6 0.9052 0.5866 0.9987  1 Se 2.65
Se1 0.2201 0.9540 0.2564  1 Te 2.65, 3 Dy 2.89
Se2 0.9540 0.2201 0.7564  1 Te 2.65, 3 Dy 2.89

Values from the calculation:
- volume (Å³/f.u.) = 197.20
- size of the total moment (μB per cell) = 0.00

B:
Here is crystalline Dy2Te3Se at its relaxed geometry from Alexandria via LeMat-Bulk. Energies are from GGA-PBE.

Cell: 8.2600 8.2600 7.7293 Å, 97.09 97.09 126.04°
Closest atoms and distances in Å follow each position.
Fractional positions:
Dy1 0.0586 0.9414 0.5000  2 Se 2.78-2.81, 2 Te 3.04-3.11
Dy2 0.5775 0.9953 0.3960  1 Se 2.84, 4 Te 3.05-3.15
Dy3 0.9414 0.0586 0.0000  2 Se 2.78-2.81, 2 Te 3.04-3.11
Dy4 0.9953 0.5775 0.8960  1 Se 2.84, 4 Te 3.05-3.15
Te1 0.0125 0.2618 0.6666  4 Dy 3.04-3.18
Te2 0.2515 0.5213 0.2072  1 Te 2.86, 2 Dy 3.11-3.15, 1 Se 3.13
Te3 0.2618 0.0125 0.1666  4 Dy 3.04-3.18
Te4 0.3476 0.8298 0.6898  1 Te 2.86, 2 Dy 3.07-3.19
Te5 0.5213 0.2515 0.7072  1 Te 2.86, 2 Dy 3.11-3.15, 1 Se 3.13
Te6 0.8298 0.3476 0.1898  1 Te 2.86, 2 Dy 3.07-3.19
Se1 0.7224 0.8001 0.2170  3 Dy 2.78-2.84
Se2 0.8001 0.7224 0.7170  3 Dy 2.78-2.84

Values from the calculation:
- volume (Å³/f.u.) = 205.17
- size of the total moment (μB per cell) = 0.00

It is B that is the most stable of them.

A:
Here is crystalline DyThSe3 at its relaxed geometry from Alexandria via LeMat-Bulk. Energies are from GGA-PBE.

Cell: 10.7346 10.7346 7.2879 Å, 90.00 90.00 157.36°
Closest atoms and distances in Å follow each position.
Fractional positions:
Dy1 0.1634 0.8366 0.5000  6 Se 2.81-3.04
Dy2 0.8366 0.1634 0.0000  6 Se 2.81-3.04
Th1 0.3395 0.6605 0.4968  6 Se 2.84-3.08
Th2 0.6605 0.3395 0.9968  6 Se 2.84-3.08
Se1 0.0908 0.9092 0.1738  1 Dy 2.83, 2 Th 2.87
Se2 0.2507 0.7493 0.8313  3 Dy 3.03-3.04, 3 Th 3.07-3.08
Se3 0.4058 0.5942 0.1571  2 Dy 2.81, 1 Th 2.84
Se4 0.5942 0.4058 0.6571  2 Dy 2.81, 1 Th 2.84
Se5 0.7493 0.2507 0.3313  3 Dy 3.03-3.04, 3 Th 3.07-3.08
Se6 0.9092 0.0908 0.6738  1 Dy 2.83, 2 Th 2.87

Values from the calculation:
- volume (Å³/f.u.) = 161.66
- size of the total moment (μB per cell) = 0.57

B:
Here is crystalline DyThSe3 at its relaxed geometry from Alexandria via LeMat-Bulk. Energies are from GGA-PBE.

Cell: 7.7895 4.1423 15.8189 Å, 90.00 90.00 90.00°
Closest atoms and distances in Å follow each position.
Fractional positions:
Dy1 0.2362 0.2500 0.0436  7 Se 2.90-3.04
Dy2 0.2638 0.7500 0.5436  7 Se 2.90-3.04
Dy3 0.7362 0.2500 0.4564  7 Se 2.90-3.04
Dy4 0.7638 0.7500 0.9564  7 Se 2.90-3.04
Th1 0.1229 0.7500 0.2944  7 Se 2.93-3.10
Th2 0.3771 0.2500 0.7944  7 Se 2.93-3.10
Th3 0.6229 0.7500 0.2056  7 Se 2.93-3.10
Th4 0.8771 0.2500 0.7056  7 Se 2.93-3.10
Se1 0.0082 0.7500 0.1066  3 Dy 2.90-3.04, 1 Th 3.10
Se2 0.1230 0.2500 0.4345  3 Dy 2.91-3.03, 2 Th 3.03
Se3 0.1563 0.7500 0.7210  1 Dy 2.93, 4 Th 2.93-3.01
Se4 0.3437 0.2500 0.2210  1 Dy 2.93, 4 Th 2.93-3.01
Se5 0.3770 0.7500 0.9345  3 Dy 2.91-3.03, 2 Th 3.03
Se6 0.4918 0.2500 0.6066  3 Dy 2.90-3.04, 1 Th 3.10
Se7 0.5082 0.7500 0.3934  3 Dy 2.90-3.04, 1 Th 3.10
Se8 0.6230 0.2500 0.0655  3 Dy 2.91-3.03, 2 Th 3.03
Se9 0.6563 0.7500 0.7790  1 Dy 2.93, 4 Th 2.93-3.01
Se10 0.8437 0.2500 0.2790  1 Dy 2.93, 4 Th 2.93-3.01
Se11 0.8770 0.7500 0.5655  3 Dy 2.91-3.03, 2 Th 3.03
Se12 0.9918 0.2500 0.8934  3 Dy 2.90-3.04, 1 Th 3.10

Values from the calculation:
- volume (Å³/f.u.) = 127.61
- size of the total moment (μB per cell) = 0.00

It is B that is the most stable of them.